Compound: Pm2ErHfAs4
Source: Alexandria via LeMat-Bulk
Functional: PBE
Structure: optimized geometry

a b c (Å): 7.0695 4.0798 7.0844
angles (deg): 90.00 109.26 90.00
Closest atoms and distances in Å follow each position.
Space group P2/m (No. 10)
Inequivalent atoms, fractional coordinates:
Pm (0.0000, 0.0000, 0.0000)  6 As 3.00
Pm (0.5000, 0.5000, 0.0000)  6 As 2.93
Er (0.0000, 0.5000, 0.5000)  6 As 2.85
Hf (0.5000, 0.0000, 0.5000)  6 As 2.78-2.79
As (0.2528, 0.0000, 0.7337)  1 Hf 2.78, 2 Er 2.85, 3 Pm 2.93-3.00
As (0.2646, 0.5000, 0.2712)  2 Hf 2.79, 1 Er 2.85, 3 Pm 2.93-3.00

Properties
Uncorrected energy (eV/atom): -6.7180